Entry from the Alexandria database: MgTc2Sb after structural relaxation (PBE).

abc: 4.751 4.751 5.034
angles: 79.24 79.24 37.72
Element x y z (fractional)
1 Sb 0.750 0.750 0.750
2 Mg 0.250 0.250 0.250
3 Tc 0.496 0.496 0.477
4 Tc 0.004 0.004 0.023

Computed properties:
Energy relative to the lowest polymorph listed for this composition: 244 meV per atom
Electronic total energy: -25.28 eV/cell
Total moment: 0.00 μB per formula unit
Formation energy from raw total energies: 0.292 eV per atom